Entry 1:
Material: La2Fe3B12Os
Method: DFT, PBE
State: optimized geometry

Output
As for the space-group type: R-3m (166). As for the theoretical density: 6.23 g cm⁻³. The value obtained for the spin magnetization is 4.8 μB/cell. Its crystal system is trigonal. The formation energy comes out at 0.06 eV per atom.

Unit cell a=8.2752 b=8.2752 c=8.2752 alpha=39.25 beta=39.25 gamma=39.25
Closest atoms and distances in Å follow each position.
Fractional coordinates of all 18 atoms:
La  0.1401  0.1401  0.1401  15 B 2.75-3.06
La  0.8599  0.8599  0.8599  15 B 2.75-3.06
Fe  0.0000  0.5000  0.5000  6 B 2.10-2.11
Fe  0.5000  0.0000  0.5000  6 B 2.10-2.11
Fe  0.5000  0.5000  0.0000  6 B 2.10-2.11
B  0.1610  0.1610  0.4722  4 B 1.73-1.77
B  0.1610  0.4722  0.1610  4 B 1.73-1.77
B  0.1641  0.5536  0.5536  2 B 1.77
B  0.4464  0.4464  0.8359  2 B 1.77
B  0.4464  0.8359  0.4464  2 B 1.77
B  0.4722  0.1610  0.1610  4 B 1.73-1.77
B  0.5278  0.8390  0.8390  4 B 1.73-1.77
B  0.5536  0.1641  0.5536  2 B 1.77
B  0.5536  0.5536  0.1641  2 B 1.77
B  0.8359  0.4464  0.4464  2 B 1.77
B  0.8390  0.5278  0.8390  4 B 1.73-1.77
B  0.8390  0.8390  0.5278  4 B 1.73-1.77
Os  0.5000  0.5000  0.5000  6 B 2.15

---

Entry 2:
Material: LaFeBPt2
Method: DFT, PBE
State: optimized geometry

Output
As for the space-group type: P4/mmm (123). As for the theoretical density: 10.77 g cm⁻³. The value obtained for the spin magnetization is 2.0 μB/cell. Its crystal system is tetragonal. The formation energy comes out at -0.06 eV per atom.

Unit cell a=4.8370 b=4.8370 c=3.9264 alpha=90.00 beta=90.00 gamma=90.00
Closest atoms and distances in Å follow each position.
Fractional coordinates of all 5 atoms:
La  0.0000  0.0000  0.0000  8 Pt 3.12, 4 B 3.42
Fe  0.5000  0.5000  0.5000  2 B 1.96
B  0.5000  0.5000  0.0000  2 Fe 1.96
Pt  0.0000  0.5000  0.5000  2 Fe 2.42
Pt  0.5000  0.0000  0.5000  2 Fe 2.42

---

Entry 3:
Material: LaFeRe2B
Method: DFT, PBE
State: optimized geometry

Output
As for the space-group type: P4/mmm (123). As for the theoretical density: 9.31 g cm⁻³. The value obtained for the spin magnetization is 0.0 μB/cell. Its crystal system is tetragonal. The formation energy comes out at 1.69 eV per atom.

Unit cell a=4.4047 b=4.4047 c=5.3133 alpha=90.00 beta=90.00 gamma=90.00
Closest atoms and distances in Å follow each position.
Fractional coordinates of all 5 atoms:
La  0.0000  0.0000  0.0000  2 Fe 2.66
Fe  0.0000  0.0000  0.5000  4 Re 2.20
Re  0.0000  0.5000  0.5000  2 Fe 2.20
Re  0.5000  0.0000  0.5000  2 Fe 2.20
B  0.5000  0.5000  0.0000  4 La 3.11, 8 Re 3.45

---

Entry 4:
Material: LaFe2ReB
Method: DFT, PBE
State: optimized geometry

Output
As for the space-group type: P4/mmm (123). As for the theoretical density: 6.61 g cm⁻³. The value obtained for the spin magnetization is 2.9 μB/cell. Its crystal system is tetragonal. The formation energy comes out at 1.64 eV per atom.

Unit cell a=4.4613 b=4.4613 c=5.6486 alpha=90.00 beta=90.00 gamma=90.00
Closest atoms and distances in Å follow each position.
Fractional coordinates of all 5 atoms:
La  0.0000  0.0000  0.0000  2 Re 2.82, 4 B 3.15
Fe  0.0000  0.5000  0.5000  2 Re 2.23
Fe  0.5000  0.0000  0.5000  2 Re 2.23
Re  0.0000  0.0000  0.5000  4 Fe 2.23
B  0.5000  0.5000  0.0000  4 La 3.15

---

Entry 5:
Material: LaFeB2Ru
Method: DFT, PBE
State: optimized geometry

Output
As for the space-group type: I-4m2 (119). As for the theoretical density: 7.07 g cm⁻³. The value obtained for the spin magnetization is 2.1 μB/cell. Its crystal system is tetragonal. The formation energy comes out at -0.38 eV per atom.

Unit cell a=3.8233 b=3.8233 c=10.2057 alpha=90.00 beta=90.00 gamma=90.00
Closest atoms and distances in Å follow each position.
Fractional coordinates of all 10 atoms:
La  0.0000  0.0000  0.0000  4 Fe 3.19, 4 Ru 3.19, 10 B 3.22-3.35
La  0.5000  0.5000  0.5000  4 Fe 3.19, 4 Ru 3.19, 10 B 3.22-3.35
Fe  0.0000  0.5000  0.2500  4 B 2.07
Fe  0.5000  0.0000  0.7500  4 B 2.07
B  0.0000  0.0000  0.3284  2 Fe 2.07, 2 Ru 2.07
B  0.0000  0.0000  0.6716  2 Fe 2.07, 2 Ru 2.07
B  0.5000  0.5000  0.1716  2 Fe 2.07, 2 Ru 2.07
B  0.5000  0.5000  0.8284  2 Fe 2.07, 2 Ru 2.07
Ru  0.0000  0.5000  0.7500  4 B 2.07
Ru  0.5000  0.0000  0.2500  4 B 2.07

---

Entry 6:
Material: La2TiFeB
Method: DFT, PBE
State: optimized geometry

Output
As for the space-group type: P4/mmm (123). As for the theoretical density: 5.61 g cm⁻³. The value obtained for the spin magnetization is 0.3 μB/cell. Its crystal system is tetragonal. The formation energy comes out at 0.58 eV per atom.

Unit cell a=5.2236 b=5.2236 c=4.2561 alpha=90.00 beta=90.00 gamma=90.00
Closest atoms and distances in Å follow each position.
Fractional coordinates of all 5 atoms:
La  0.0000  0.5000  0.0000  2 B 2.61
La  0.5000  0.0000  0.0000  2 B 2.61
Ti  0.0000  0.0000  0.5000  2 B 2.13
Fe  0.5000  0.5000  0.5000  8 La 3.37, 4 Ti 3.69
B  0.0000  0.0000  0.0000  2 Ti 2.13

---

Entry 7:
Material: LiFeB
Method: DFT, PBE
State: optimized geometry

Output
As for the space-group type: C2/m (12). As for the theoretical density: 4.15 g cm⁻³. The value obtained for the spin magnetization is 2.3 μB/cell. Its crystal system is monoclinic. The formation energy comes out at 0.13 eV per atom.

Unit cell a=7.7703 b=4.1819 c=3.8981 alpha=90.00 beta=111.72 gamma=90.00
Closest atoms and distances in Å follow each position.
Fractional coordinates of all 12 atoms:
Li  0.1020  0.0000  0.3360  3 B 2.13-2.27, 1 Li 2.38
Li  0.3980  0.5000  0.6640  3 B 2.13-2.27, 1 Li 2.38
Li  0.6020  0.5000  0.3360  3 B 2.13-2.27, 1 Li 2.38
Li  0.8980  0.0000  0.6640  3 B 2.13-2.27, 1 Li 2.38
Fe  0.1623  0.5000  0.9765  3 B 1.95-2.04
Fe  0.3377  0.0000  0.0235  3 B 1.95-2.04
Fe  0.6623  0.0000  0.9765  3 B 1.95-2.04
Fe  0.8377  0.5000  0.0235  3 B 1.95-2.04
B  0.0832  0.5000  0.4149  1 B 1.66
B  0.4168  0.0000  0.5851  1 B 1.66
B  0.5833  0.0000  0.4149  1 B 1.66
B  0.9168  0.5000  0.5851  1 B 1.66

---

Entry 8:
Material: LiFeB3
Method: DFT, PBE
State: optimized geometry

Output
As for the space-group type: Pm-3m (221). As for the theoretical density: 4.05 g cm⁻³. The value obtained for the spin magnetization is 0.0 μB/cell. The polymorph energy (0 for the lowest one) is 1.467 eV per atom. Its crystal system is cubic. The formation energy comes out at 1.85 eV per atom.

Unit cell a=3.3931 b=3.3931 c=3.3931 alpha=90.00 beta=90.00 gamma=90.00
Closest atoms and distances in Å follow each position.
Fractional coordinates of all 5 atoms:
Li  0.0000  0.0000  0.0000  6 B 1.70
Fe  0.5000  0.5000  0.5000  12 B 2.40
B  0.0000  0.0000  0.5000  2 Li 1.70
B  0.0000  0.5000  0.0000  2 Li 1.70
B  0.5000  0.0000  0.0000  2 Li 1.70

---

Entry 9:
Material: LiFe3B
Method: DFT, PBE
State: optimized geometry

Output
As for the space-group type: Pm-3m (221). As for the theoretical density: 5.43 g cm⁻³. The value obtained for the spin magnetization is 7.0 μB/cell. The polymorph energy (0 for the lowest one) is 1.336 eV per atom. Its crystal system is cubic. The formation energy comes out at 1.50 eV per atom.

Unit cell a=3.8417 b=3.8417 c=3.8417 alpha=90.00 beta=90.00 gamma=90.00
Closest atoms and distances in Å follow each position.
Fractional coordinates of all 5 atoms:
Li  0.0000  0.0000  0.0000  6 Fe 1.92
Fe  0.0000  0.0000  0.5000  2 Li 1.92
Fe  0.0000  0.5000  0.0000  2 Li 1.92
Fe  0.5000  0.0000  0.0000  2 Li 1.92
B  0.5000  0.5000  0.5000  12 Fe 2.72

---

Number 5 is which compound?
LaFeB2Ru